1.
This record from the Alexandria database describes a relaxed structure of CuAgSe2. The functional is PBE. Values from VASP.

Structure (Quantum ESPRESSO input):
```
&SYSTEM
  ibrav = 0, nat = 4, ntyp = 3
/
ATOMIC_SPECIES
Cu 63.55 Cu.upf
Ag 107.87 Ag.upf
Se 78.96 Se.upf
ATOMIC_POSITIONS angstrom
Cu 0.000 0.000 0.000
Ag 0.000 0.000 3.886
Se 2.186 0.000 1.943
Se 0.000 2.186 1.943
CELL_PARAMETERS angstrom
-2.186 2.186 3.886
2.186 -2.186 3.886
2.186 2.186 -3.886
```

## Properties
The electronic total energy is -3.18 eV per atom. Its uncorrected formation energy is 297 meV/atom.

2.
This record from the Alexandria database describes a relaxed structure of CuAgSe2. The functional is PBE. Values from VASP.

Structure (Quantum ESPRESSO input):
```
&SYSTEM
  ibrav = 0, nat = 4, ntyp = 3
/
ATOMIC_SPECIES
Cu 63.55 Cu.upf
Ag 107.87 Ag.upf
Se 78.96 Se.upf
ATOMIC_POSITIONS angstrom
Cu 0.000 0.000 0.000
Ag 5.005 5.005 5.005
Se 1.668 1.668 1.668
Se 3.336 3.336 3.336
CELL_PARAMETERS angstrom
0.000 3.336 3.336
3.336 0.000 3.336
3.336 3.336 0.000
```

## Properties
The electronic total energy is -3.01 eV per atom. Its uncorrected formation energy is 470 meV/atom.

3.
This record from the Alexandria database describes a relaxed structure of CuAg2Se. The functional is PBE. Values from VASP.

Structure (Quantum ESPRESSO input):
```
&SYSTEM
  ibrav = 0, nat = 4, ntyp = 3
/
ATOMIC_SPECIES
Cu 63.55 Cu.upf
Ag 107.87 Ag.upf
Se 78.96 Se.upf
ATOMIC_POSITIONS angstrom
Cu 0.000 0.000 0.000
Ag 1.464 1.926 1.390
Ag 1.464 1.926 4.822
Se -0.005 0.000 3.106
CELL_PARAMETERS angstrom
2.939 0.000 0.000
0.000 3.852 0.000
-0.010 0.000 6.212
```

## Properties
The electronic total energy is -3.18 eV per atom. Its uncorrected formation energy is 140 meV/atom.

4.
This record from the Alexandria database describes a relaxed structure of CuAgSe. The functional is PBE. Values from VASP.

Structure (Quantum ESPRESSO input):
```
&SYSTEM
  ibrav = 0, nat = 6, ntyp = 3
/
ATOMIC_SPECIES
Cu 63.55 Cu.upf
Ag 107.87 Ag.upf
Se 78.96 Se.upf
ATOMIC_POSITIONS angstrom
Cu 1.327 0.000 3.079
Cu 5.262 0.000 3.088
Ag 3.212 1.283 1.476
Ag 3.376 1.283 4.691
Se 2.012 -1.293 1.261
Se 4.576 -1.293 4.907
CELL_PARAMETERS angstrom
3.919 -2.579 0.000
3.919 2.579 0.000
-1.250 0.000 6.167
```

## Properties
The electronic total energy is -3.57 eV per atom. Its uncorrected formation energy is -96 meV/atom.

5.
This record from the Alexandria database describes a relaxed structure of CuAg4Se4. The functional is PBE. Values from VASP.

Structure (Quantum ESPRESSO input):
```
&SYSTEM
  ibrav = 0, nat = 9, ntyp = 3
/
ATOMIC_SPECIES
Cu 63.55 Cu.upf
Ag 107.87 Ag.upf
Se 78.96 Se.upf
ATOMIC_POSITIONS angstrom
Cu 0.000 0.000 0.000
Ag 3.046 0.000 0.000
Ag 0.000 0.000 3.120
Ag 0.000 3.046 0.000
Ag 0.000 0.000 8.897
Se 1.591 -1.591 4.519
Se 1.455 1.455 1.490
Se -1.591 1.591 4.519
Se 1.591 1.591 7.498
CELL_PARAMETERS angstrom
-3.046 3.046 6.008
3.046 -3.046 6.008
3.046 3.046 -6.008
```

## Properties
The electronic total energy is -3.25 eV per atom. Its uncorrected formation energy is 19 meV/atom.

6.
This record from the Alexandria database describes a relaxed structure of CuAg2Se5. The functional is PBE. Values from VASP.

Structure (Quantum ESPRESSO input):
```
&SYSTEM
  ibrav = 0, nat = 8, ntyp = 3
/
ATOMIC_SPECIES
Cu 63.55 Cu.upf
Ag 107.87 Ag.upf
Se 78.96 Se.upf
ATOMIC_POSITIONS angstrom
Cu 0.000 0.000 0.000
Ag 2.690 0.000 4.524
Ag 0.000 2.690 4.524
Se 1.373 1.373 1.626
Se 1.316 -1.316 9.121
Se 0.000 0.000 12.647
Se -1.316 1.316 9.121
Se 1.316 1.316 9.121
CELL_PARAMETERS angstrom
-2.690 2.690 7.494
2.690 -2.690 7.494
2.690 2.690 -7.494
```

## Properties
The electronic total energy is -3.22 eV per atom. Its uncorrected formation energy is 178 meV/atom.

7.
This record from the Alexandria database describes a relaxed structure of CuAgSe. The functional is PBE. Values from VASP.

Structure (Quantum ESPRESSO input):
```
&SYSTEM
  ibrav = 0, nat = 6, ntyp = 3
/
ATOMIC_SPECIES
Cu 63.55 Cu.upf
Ag 107.87 Ag.upf
Se 78.96 Se.upf
ATOMIC_POSITIONS angstrom
Cu 1.039 3.117 0.000
Cu 3.117 1.039 0.000
Ag 1.039 1.039 1.926
Ag 3.117 3.117 4.329
Se 1.039 1.039 4.685
Se 3.117 3.117 1.570
CELL_PARAMETERS angstrom
4.156 0.000 0.000
0.000 4.156 0.000
0.000 0.000 6.255
```

## Properties
The electronic total energy is -3.52 eV per atom. Its uncorrected formation energy is -46 meV/atom.

8.
This record from the Alexandria database describes a relaxed structure of CuAgSe. The functional is PBE. Values from VASP.

Structure (Quantum ESPRESSO input):
```
&SYSTEM
  ibrav = 0, nat = 6, ntyp = 3
/
ATOMIC_SPECIES
Cu 63.55 Cu.upf
Ag 107.87 Ag.upf
Se 78.96 Se.upf
ATOMIC_POSITIONS angstrom
Cu 0.000 0.000 0.000
Cu 2.218 0.284 2.028
Ag 3.450 1.019 4.658
Ag 5.050 3.069 6.132
Se 3.084 3.663 4.321
Se 4.359 1.320 1.879
CELL_PARAMETERS angstrom
4.301 0.000 0.000
1.611 4.571 0.000
1.288 0.257 6.317
```

## Properties
The electronic total energy is -3.53 eV per atom. Its uncorrected formation energy is -52 meV/atom.

9.
This record from the Alexandria database describes a relaxed structure of CuAg2Se. The functional is PBE. Values from VASP.

Structure (Quantum ESPRESSO input):
```
&SYSTEM
  ibrav = 0, nat = 4, ntyp = 3
/
ATOMIC_SPECIES
Cu 63.55 Cu.upf
Ag 107.87 Ag.upf
Se 78.96 Se.upf
ATOMIC_POSITIONS angstrom
Cu 0.000 0.000 0.000
Ag 0.000 0.000 7.066
Ag 0.000 0.000 20.403
Se 0.000 0.000 13.735
CELL_PARAMETERS angstrom
1.489 0.860 9.156
-1.489 0.860 9.156
0.000 -1.719 9.156
```

## Properties
The electronic total energy is -3.09 eV per atom. Its uncorrected formation energy is 234 meV/atom.

10.
This record from the Alexandria database describes a relaxed structure of CuAgSe2. The functional is PBE. Values from VASP.

Structure (Quantum ESPRESSO input):
```
&SYSTEM
  ibrav = 0, nat = 4, ntyp = 3
/
ATOMIC_SPECIES
Cu 63.55 Cu.upf
Ag 107.87 Ag.upf
Se 78.96 Se.upf
ATOMIC_POSITIONS angstrom
Cu 0.000 0.000 0.000
Ag 1.428 1.428 7.783
Se 0.000 0.000 5.528
Se 1.428 1.428 1.790
CELL_PARAMETERS angstrom
2.857 0.000 0.000
0.000 2.857 0.000
0.000 0.000 9.720
```

## Properties
The electronic total energy is -3.32 eV per atom. Its uncorrected formation energy is 161 meV/atom.

11.
This record from the Alexandria database describes a relaxed structure of CuAg2Se. The functional is PBE. Values from VASP.

Structure (Quantum ESPRESSO input):
```
&SYSTEM
  ibrav = 0, nat = 4, ntyp = 3
/
ATOMIC_SPECIES
Cu 63.55 Cu.upf
Ag 107.87 Ag.upf
Se 78.96 Se.upf
ATOMIC_POSITIONS angstrom
Cu 0.000 0.000 0.000
Ag 0.000 0.000 2.907
Ag 1.715 1.715 4.426
Se 1.715 1.715 1.206
CELL_PARAMETERS angstrom
3.430 0.000 0.000
0.000 3.430 0.000
0.000 0.000 5.908
```

## Properties
The electronic total energy is -3.21 eV per atom. Its uncorrected formation energy is 108 meV/atom.

12.
This record from the Alexandria database describes a relaxed structure of CuAg2Se2. The functional is PBE. Values from VASP.

Structure (Quantum ESPRESSO input):
```
&SYSTEM
  ibrav = 0, nat = 10, ntyp = 3
/
ATOMIC_SPECIES
Cu 63.55 Cu.upf
Ag 107.87 Ag.upf
Se 78.96 Se.upf
ATOMIC_POSITIONS angstrom
Cu 0.000 0.000 0.000
Cu 3.461 3.461 0.000
Ag 1.004 2.457 2.087
Ag 2.457 5.918 2.087
Ag 4.466 1.004 2.087
Ag 5.918 4.466 2.087
Se 1.214 4.675 0.000
Se 2.248 1.214 0.000
Se 4.675 5.709 0.000
Se 5.709 2.248 0.000
CELL_PARAMETERS angstrom
6.923 0.000 0.000
0.000 6.923 0.000
0.000 0.000 4.175
```

## Properties
The electronic total energy is -3.27 eV per atom. Its uncorrected formation energy is 82 meV/atom.

13.
This record from the Alexandria database describes a relaxed structure of CuAgSe2. The functional is PBE. Values from VASP.

Structure (Quantum ESPRESSO input):
```
&SYSTEM
  ibrav = 0, nat = 4, ntyp = 3
/
ATOMIC_SPECIES
Cu 63.55 Cu.upf
Ag 107.87 Ag.upf
Se 78.96 Se.upf
ATOMIC_POSITIONS angstrom
Cu 0.000 0.000 0.000
Ag 2.186 2.186 0.000
Se 0.000 2.186 1.942
Se 2.186 0.000 1.942
CELL_PARAMETERS angstrom
4.373 0.000 0.000
0.000 4.373 0.000
0.000 0.000 3.885
```

## Properties
The electronic total energy is -3.18 eV per atom. Its uncorrected formation energy is 299 meV/atom.

14.
This record from the Alexandria database describes a relaxed structure of CuAg5Se4. The functional is PBE. Values from VASP.

Structure (Quantum ESPRESSO input):
```
&SYSTEM
  ibrav = 0, nat = 10, ntyp = 3
/
ATOMIC_SPECIES
Cu 63.55 Cu.upf
Ag 107.87 Ag.upf
Se 78.96 Se.upf
ATOMIC_POSITIONS angstrom
Cu 0.000 0.000 0.000
Ag -1.555 0.000 3.299
Ag 5.216 0.000 0.819
Ag 3.954 0.000 3.512
Ag 9.977 0.000 3.086
Ag 8.716 0.000 5.778
Se 2.636 0.000 1.253
Se 7.809 0.000 1.504
Se 6.122 0.000 5.093
Se 11.295 0.000 5.345
CELL_PARAMETERS angstrom
8.520 -1.887 0.000
8.520 1.887 0.000
-3.110 0.000 6.598
```

## Properties
The electronic total energy is -3.24 eV per atom. Its uncorrected formation energy is -6 meV/atom.